# 1
5
Lattice="-0.4196 -0.2945 4.6910 -3.7393 -3.8299 -0.5749 3.3687 -3.3032 0.0940" Properties=species:S:1:pos:R:3 comment="LaTcNiW2 | Alexandria | PBE-GGA | optimized geometry" relative_energy_ev_per_atom=0.532 density_g_cm3=9.2 magmom_total_mub_per_cell=0.5 e_form_ev_per_atom=1.599 pbc="T T T"
W -0.2098 -0.1472 2.3455
W 1.6844 -1.6516 0.0470
Tc 0.0000 0.0000 0.0000
Ni -0.3951 -3.7138 2.1050
La -1.8697 -1.9149 -0.2875



# 2
5
Lattice="-1.1545 -3.8842 2.5011 3.2920 -2.5025 -2.3669 3.2431 1.1546 3.2900" Properties=species:S:1:pos:R:3 comment="LaTcNiW2 | Alexandria | PBE-GGA | optimized geometry" relative_energy_ev_per_atom=0.000 density_g_cm3=10.2 magmom_total_mub_per_cell=0.0 e_form_ev_per_atom=1.067 pbc="T T T"
La 2.6903 -2.6160 1.7121
Ni 1.6460 -1.2513 -1.1834
W 1.6215 0.5773 1.6450
W -0.5772 -1.9421 1.2505
Tc 0.0000 0.0000 0.0000



# 3
19
Lattice="8.3932 0.0000 -2.9675 -4.1966 7.2687 -2.9675 0.0000 0.0000 8.9024" Properties=species:S:1:pos:R:3 comment="La12Ni6Te | Alexandria | PBE-GGA | optimized geometry" formation_energy_uncorrected_ev_per_atom=-0.365 density_g_cm3=6.6 magmom_total_mub_per_cell=0.0 pbc="T T T"
La 6.5364 1.3351 2.9868
La 0.2278 2.2756 2.9481
La 2.0846 0.9405 5.9543
La 0.7982 5.9337 2.1995
La 5.5378 2.2756 -2.1995
La 3.3984 1.3351 0.7679
La 2.1120 6.3282 -2.9868
La -2.3398 5.9337 -0.0194
La 0.5430 3.6106 -0.7679
La 3.6536 3.6581 3.7354
La -1.3412 4.9932 5.1670
La 3.9688 4.9932 0.0194
Ni 0.5209 6.3666 -0.7366
Ni 3.6758 0.9021 3.7041
Ni 5.7741 2.7322 0.7366
Ni -1.5775 4.5365 2.2309
Ni 1.0566 3.6344 5.1983
Ni 3.1400 3.6344 -2.2309
Te 0.0000 0.0000 0.0000



# 4
5
Lattice="4.7070 0.0000 0.0000 0.0000 4.7070 0.0000 0.0000 0.0000 4.7070" Properties=species:S:1:pos:R:3 comment="LaNi3Te | Alexandria | PBE-GGA | optimized geometry" formation_energy_uncorrected_ev_per_atom=0.050 relative_energy_ev_per_atom=0.000 density_g_cm3=7.0 magmom_total_mub_per_cell=0.0 pbc="T T T"
Ni 0.0000 0.0000 2.3535
Ni 2.3535 0.0000 0.0000
Ni 0.0000 2.3535 0.0000
La 2.3535 2.3535 2.3535
Te 0.0000 0.0000 0.0000



# 5
16
Lattice="1.2861 -1.0423 -7.9167 -4.6609 -6.6090 0.1129 -3.8656 7.7177 2.4874" Properties=species:S:1:pos:R:3 comment="La5Ni2Te | Alexandria | PBE-GGA | optimized geometry" formation_energy_uncorrected_ev_per_atom=-0.524 density_g_cm3=6.9 magmom_total_mub_per_cell=0.0 pbc="T T T"
Ni 0.1203 -1.7063 -5.1672
Ni -3.4951 -5.9449 -2.6366
Ni -1.4093 -2.4422 -1.1873
Ni -1.9656 -5.2090 -6.6165
La -4.3410 -3.3850 -1.4884
La -2.5983 5.3113 0.1074
La -2.0511 -2.1515 -7.0840
La -5.4904 0.3580 -2.1679
La 0.0000 0.0000 0.0000
La -1.6874 -3.8256 -3.9019
La -2.8994 3.4514 -3.8281
La -1.7500 -0.2916 -3.1485
La -4.6421 -5.2449 -5.4239
La -5.1893 2.2179 1.7676
Te -2.7765 1.9460 -0.7073
Te -4.4639 -1.8796 -4.6092



# 6
5
Lattice="-0.9894 3.6576 1.7090 -3.6707 -1.5475 1.1870 0.1947 -0.7876 6.8533" Properties=species:S:1:pos:R:3 comment="LaNi2Te2 | Alexandria | PBE-GGA | optimized geometry" formation_energy_uncorrected_ev_per_atom=-0.667 relative_energy_ev_per_atom=0.000 density_g_cm3=7.9 magmom_total_mub_per_cell=0.0 pbc="T T T"
Te -2.8146 0.7632 6.8470
Te -1.6508 0.5593 2.9022
Ni -2.9030 -0.6400 4.7441
Ni -1.5623 1.9625 5.0051
La 0.0000 0.0000 0.0000



# 7
5
Lattice="-3.8090 3.4171 1.8673 -1.9084 -3.9150 3.2715 3.3944 1.6334 3.9347" Properties=species:S:1:pos:R:3 comment="La3NiTe | Alexandria | PBE-GGA | optimized geometry" formation_energy_uncorrected_ev_per_atom=-0.491 density_g_cm3=6.2 magmom_total_mub_per_cell=0.0 pbc="T T T"
La -0.9542 -1.9575 1.6358
La -1.9045 1.7086 0.9337
La 1.6972 0.8167 1.9674
Ni 0.0000 0.0000 0.0000
Te -1.1615 0.5678 4.5368



# 8
6
Lattice="0.0000 4.4313 4.4313 4.4313 0.0000 4.4313 4.4313 4.4313 0.0000" Properties=species:S:1:pos:R:3 comment="LaNiTe4 | Alexandria | PBE-GGA | optimized geometry" formation_energy_uncorrected_ev_per_atom=0.212 density_g_cm3=6.8 magmom_total_mub_per_cell=0.5 pbc="T T T"
Te 5.5451 5.5451 3.3176
Te 3.3176 3.3176 3.3176
Te 5.5451 3.3176 5.5451
Te 3.3176 5.5451 5.5451
La 6.6470 6.6470 6.6470
Ni 0.0000 0.0000 0.0000